5
Lattice="-1.241 -4.016 0.472 3.740 -1.328 -1.464 1.854 -0.014 4.749" Properties=species:S:1:pos:R:3 comment="PbCS2Cl PBE-GGA optimized geometry" raw_formation_energy_kj_per_mol_atoms=67 magmom_total_mub_per_cell=0.0 e_above_lowest_polymorph_mev_per_atom=0 pbc="T T T"
Pb 2.176 -2.679 1.879
S -0.621 -2.008 0.236
S 1.870 -0.664 -0.732
Cl 0.927 -0.007 2.375
C 0.000 0.000 0.000

***

5
Lattice="4.248 0.000 0.000 0.000 4.248 0.000 0.000 0.000 4.248" Properties=species:S:1:pos:R:3 comment="Ni3SCl PBE-GGA optimized geometry" raw_formation_energy_kj_per_mol_atoms=22 magmom_total_mub_per_cell=0.0 e_above_lowest_polymorph_mev_per_atom=0 pbc="T T T"
Ni 2.124 0.000 0.000
Ni 0.000 0.000 2.124
Ni 0.000 2.124 0.000
S 0.000 0.000 0.000
Cl 2.124 2.124 2.124

***

5
Lattice="4.560 0.000 0.000 0.000 4.560 0.000 0.000 0.000 4.560" Properties=species:S:1:pos:R:3 comment="LiZn3N PBE-GGA optimized geometry" raw_formation_energy_kj_per_mol_atoms=127 magmom_total_mub_per_cell=2.0 e_above_lowest_polymorph_mev_per_atom=936 pbc="T T T"
Zn 0.000 0.000 2.280
Zn 0.000 2.280 0.000
Zn 2.280 0.000 0.000
N 2.280 2.280 2.280
Li 0.000 0.000 0.000